No. 1
# Li2YZn

Crystalline Li2YZn at its relaxed geometry (GGA-PBE, the Alexandria database).

a b c (Å): 3.460 4.111 6.402
angles (deg): 90.00 105.61 90.00
Fractional coordinates of all 4 atoms:
Li 0.000 0.000 0.000
Li 0.420 0.500 0.844
Y 0.690 0.500 0.372
Zn 0.299 0.000 0.588

Properties
- formation enthalpy at 0 K (meV per atom) = -42
- size of the total moment (μB per formula unit) = 0.00
- DFT total energy (eV/atom) = -2.9339



No. 2
# LiY2Zr

Crystalline LiY2Zr at its relaxed geometry (GGA-PBE, the Alexandria database).

a b c (Å): 5.715 5.715 5.993
angles (deg): 102.37 102.37 34.06
Fractional coordinates of all 4 atoms:
Li 0.000 0.000 0.000
Y 0.254 0.254 0.742
Y 0.746 0.746 0.258
Zr 0.500 0.500 0.500

Properties
- formation enthalpy at 0 K (meV per atom) = 237
- size of the total moment (μB per formula unit) = 0.00
- offset from the most stable computed form (eV/atom) = 0.161
- DFT total energy (eV/atom) = -5.6110



No. 3
# LiY2Zr

Crystalline LiY2Zr at its relaxed geometry (GGA-PBE, the Alexandria database).

a b c (Å): 11.167 11.167 11.167
angles (deg): 156.88 156.88 32.93
Fractional coordinates of all 8 atoms:
Li 0.000 0.000 0.000
Li 0.750 0.250 0.500
Y 0.120 0.625 0.995
Y 0.375 0.370 0.495
Y 0.630 0.125 0.005
Y 0.875 0.880 0.505
Zr 0.250 0.750 0.500
Zr 0.500 0.500 0.000

Properties
- formation enthalpy at 0 K (meV per atom) = 598
- size of the total moment (μB per formula unit) = 0.00
- offset from the most stable computed form (eV/atom) = 0.523
- DFT total energy (eV/atom) = -5.2494



No. 4
# LiY2Zr

Crystalline LiY2Zr at its relaxed geometry (GGA-PBE, the Alexandria database).

a b c (Å): 5.542 5.542 5.542
angles (deg): 126.87 126.87 78.47
Fractional coordinates of all 4 atoms:
Li 0.000 0.000 0.000
Y 0.250 0.750 0.500
Y 0.750 0.250 0.500
Zr 0.500 0.500 0.000

Properties
- formation enthalpy at 0 K (meV per atom) = 250
- size of the total moment (μB per formula unit) = 0.45
- offset from the most stable computed form (eV/atom) = 0.174
- DFT total energy (eV/atom) = -5.5980